! SmSc2UO8 PBE relaxed; values from VASP
&SYSTEM
  ibrav = 0, nat = 12, ntyp = 4
/
ATOMIC_SPECIES
Sm 150.36 Sm.upf
Sc 44.96 Sc.upf
U 238.03 U.upf
O 16.00 O.upf
CELL_PARAMETERS angstrom
3.481 -3.483 0.000
3.481 3.483 0.000
0.000 0.000 6.927
ATOMIC_POSITIONS crystal
Sm 0.000 0.000 0.000
Sc 0.500 0.500 0.253
Sc 0.500 0.500 0.747
U 0.000 0.000 0.500
O 0.196 0.804 0.274
O 0.196 0.804 0.726
O 0.303 0.303 0.500
O 0.327 0.327 0.000
O 0.673 0.673 0.000
O 0.697 0.697 0.500
O 0.804 0.196 0.274
O 0.804 0.196 0.726
! M_tot (μB per atom): 0.061
! Raw formation energy (eV/atom): -3.14